Entry from Alexandria: crystalline CsPaGaO5 at its relaxed geometry (PBE-GGA).

a = 6.432 Å, b = 6.432 Å, c = 8.321 Å
α = 105.44°, β = 105.44°, γ = 105.69°
Fractional coordinates of all 16 atoms:
Cs1 0.332 0.668 0.250
Cs2 0.668 0.332 0.750
Pa1 0.000 0.000 0.500
Pa2 0.000 0.000 0.000
Ga1 0.692 0.308 0.250
Ga2 0.308 0.692 0.750
O1 0.049 0.951 0.250
O2 0.951 0.049 0.750
O3 0.873 0.266 0.109
O4 0.127 0.734 0.891
O5 0.734 0.127 0.391
O6 0.266 0.873 0.609
O7 0.788 0.627 0.384
O8 0.212 0.373 0.616
O9 0.373 0.212 0.116
O10 0.627 0.788 0.884

Properties
V	297.5	Å³/cell
E_tot	-7.1064	eV/atom
total magnetic moment	0.112	μB per atom